Density functional theory data (PBE-GGA) for an optimized crystal structure of NbZnGaOs.

POSCAR file:
```
NbZnGaOs
1.0
0.0000 3.1311 3.1311
3.1311 0.0000 3.1311
3.1311 3.1311 0.0000
Nb Zn Ga Os
1 1 1 1
Direct
0.0000 0.0000 0.0000
0.2500 0.2500 0.2500
0.5000 0.5000 0.5000
0.7500 0.7500 0.7500
```

Calculated values
Symmetry: F-43m, No. 216
Mass density in g/cm³: 11.31
E_form in kJ per mole of atoms: -11.4